Ta2InRh2 | Alexandria via LeMat-Bulk | PBE | optimized geometry; relative energy among the computed polymorphs = 218.6 meV/atom; formation energy from the elements = -114 meV/atom; size of the total moment = 0.00 μB/cell
1.0
-2.175 2.175 5.234
2.175 -2.175 5.234
2.175 2.175 -5.234
Ta In Rh
2 1 2
Direct
0.250 0.750 0.500
0.750 0.250 0.500
0.000 0.000 0.000
0.379 0.379 0.000
0.621 0.621 0.000